Entry 1:
Compound: Pu3GePt2Rh3
Source: Alexandria
Functional: PBE
Structure: optimized geometry Values from VASP.

The value obtained for the formation energy is -0.644 eV per atom. The calculation puts the size of the total moment at 1.689 μB/atom.

Quantum ESPRESSO input file:
```
&SYSTEM
  ibrav = 0, nat = 9, ntyp = 4
/
ATOMIC_SPECIES
Pu 244.00 Pu.upf
Ge 72.64 Ge.upf
Pt 195.08 Pt.upf
Rh 102.91 Rh.upf
CELL_PARAMETERS angstrom
7.247 0.000 0.000
-3.624 6.276 0.000
0.000 0.000 3.799
ATOMIC_POSITIONS angstrom
Pu -1.491 2.583 0.000
Pu 2.983 0.000 0.000
Pu 2.132 3.693 0.000
Ge 0.000 0.000 0.000
Pt 0.000 4.184 1.900
Pt 3.624 2.092 1.900
Rh -2.786 4.826 1.900
Rh 0.837 1.450 1.900
Rh 5.573 0.000 1.900
```



Entry 2:
Compound: PuGe2PtRh
Source: Alexandria
Functional: PBE
Structure: optimized geometry Values from VASP.

The value obtained for the formation energy is -0.606 eV per atom. The calculation puts the size of the total moment at 1.089 μB/atom.

Quantum ESPRESSO input file:
```
&SYSTEM
  ibrav = 0, nat = 10, ntyp = 4
/
ATOMIC_SPECIES
Pu 244.00 Pu.upf
Ge 72.64 Ge.upf
Pt 195.08 Pt.upf
Rh 102.91 Rh.upf
CELL_PARAMETERS angstrom
5.761 -2.110 0.000
5.761 2.110 0.000
-4.453 0.000 7.957
ATOMIC_POSITIONS angstrom
Pu 1.679 0.000 1.344
Pu 5.391 0.000 6.613
Ge -0.913 0.000 4.370
Ge 4.844 0.000 0.881
Ge 2.225 0.000 7.076
Ge 7.983 0.000 3.587
Pt -2.784 0.000 6.038
Pt 9.854 0.000 1.919
Rh 1.456 0.000 4.663
Rh 5.614 0.000 3.294
```



Entry 3:
Compound: Pu2Ge3Pt4Rh
Source: Alexandria
Functional: PBE
Structure: optimized geometry Values from VASP.

The value obtained for the formation energy is -0.631 eV per atom. The calculation puts the size of the total moment at 1.044 μB/atom.

Quantum ESPRESSO input file:
```
&SYSTEM
  ibrav = 0, nat = 10, ntyp = 4
/
ATOMIC_SPECIES
Pu 244.00 Pu.upf
Ge 72.64 Ge.upf
Pt 195.08 Pt.upf
Rh 102.91 Rh.upf
CELL_PARAMETERS angstrom
4.013 0.000 0.000
0.000 4.013 0.000
0.000 0.000 11.645
ATOMIC_POSITIONS angstrom
Pu 0.000 2.007 2.764
Pu 2.007 0.000 8.881
Ge 0.000 0.000 0.000
Ge 0.000 2.007 7.362
Ge 2.007 0.000 4.283
Pt 0.000 0.000 5.823
Pt 0.000 2.007 9.790
Pt 2.007 0.000 1.855
Pt 2.007 2.007 5.823
Rh 2.007 2.007 0.000
```



Entry 4:
Compound: Pu2Ge4Pt3Rh
Source: Alexandria
Functional: PBE
Structure: optimized geometry Values from VASP.

The value obtained for the formation energy is -0.701 eV per atom. The calculation puts the size of the total moment at 1.097 μB/atom.

Quantum ESPRESSO input file:
```
&SYSTEM
  ibrav = 0, nat = 10, ntyp = 4
/
ATOMIC_SPECIES
Pu 244.00 Pu.upf
Ge 72.64 Ge.upf
Pt 195.08 Pt.upf
Rh 102.91 Rh.upf
CELL_PARAMETERS angstrom
4.194 0.000 0.000
0.000 4.194 0.000
0.000 0.000 10.679
ATOMIC_POSITIONS angstrom
Pu 0.000 2.097 2.659
Pu 2.097 0.000 8.020
Ge 0.000 0.000 5.340
Ge 0.000 2.097 9.262
Ge 2.097 0.000 1.417
Ge 2.097 2.097 5.340
Pt 0.000 0.000 0.000
Pt 0.000 2.097 6.797
Pt 2.097 0.000 3.882
Rh 2.097 2.097 0.000
```



Entry 5:
Compound: PuGePtRh
Source: Alexandria
Functional: PBE
Structure: optimized geometry Values from VASP.

The value obtained for the formation energy is -0.419 eV per atom. The calculation puts the size of the total moment at 1.323 μB/atom.

Quantum ESPRESSO input file:
```
&SYSTEM
  ibrav = 0, nat = 4, ntyp = 4
/
ATOMIC_SPECIES
Pu 244.00 Pu.upf
Ge 72.64 Ge.upf
Pt 195.08 Pt.upf
Rh 102.91 Rh.upf
CELL_PARAMETERS angstrom
-1.521 2.237 5.766
1.521 -2.237 5.766
1.521 2.237 -5.766
ATOMIC_POSITIONS angstrom
Pu 0.000 0.000 0.000
Ge 0.000 2.237 2.997
Pt 0.000 0.000 4.060
Rh 0.000 0.000 6.851
```



Entry 6:
Compound: Pu2GePtRh
Source: Alexandria
Functional: PBE
Structure: optimized geometry Values from VASP.

The value obtained for the formation energy is -0.348 eV per atom. The calculation puts the size of the total moment at 0.912 μB/atom.

Quantum ESPRESSO input file:
```
&SYSTEM
  ibrav = 0, nat = 10, ntyp = 4
/
ATOMIC_SPECIES
Pu 244.00 Pu.upf
Ge 72.64 Ge.upf
Pt 195.08 Pt.upf
Rh 102.91 Rh.upf
CELL_PARAMETERS angstrom
7.254 0.000 0.000
0.000 3.516 0.000
-3.104 0.000 7.815
ATOMIC_POSITIONS angstrom
Pu 0.806 0.879 0.077
Pu 0.638 0.879 5.029
Pu 3.512 2.637 2.786
Pu 3.343 2.637 7.738
Ge -1.937 2.637 5.342
Ge 6.087 0.879 2.473
Pt 0.658 2.637 2.652
Pt 3.492 0.879 5.163
Rh -0.161 2.637 7.086
Rh 4.310 0.879 0.729
```



Entry 7:
Compound: PuGe2RuPt
Source: Alexandria
Functional: PBE
Structure: optimized geometry Values from VASP.

The value obtained for the formation energy is -0.582 eV per atom. The calculation puts the size of the total moment at 1.104 μB/atom.

Quantum ESPRESSO input file:
```
&SYSTEM
  ibrav = 0, nat = 5, ntyp = 4
/
ATOMIC_SPECIES
Pu 244.00 Pu.upf
Ge 72.64 Ge.upf
Ru 101.07 Ru.upf
Pt 195.08 Pt.upf
CELL_PARAMETERS angstrom
-2.077 2.077 5.313
2.077 -2.077 5.313
2.077 2.077 -5.313
ATOMIC_POSITIONS angstrom
Pu 0.000 0.000 0.000
Ge 0.000 0.000 4.030
Ge 0.000 0.000 6.595
Ru 0.000 2.077 2.656
Pt 2.077 0.000 2.656
```



Entry 8:
Compound: Pu2Ge3SbPt4
Source: Alexandria
Functional: PBE
Structure: optimized geometry Values from VASP.

As for the uncorrected formation energy: -6.4 eV/f.u. The calculation puts the size of the total moment at 1.116 μB/atom.

Quantum ESPRESSO input file:
```
&SYSTEM
  ibrav = 0, nat = 10, ntyp = 4
/
ATOMIC_SPECIES
Pu 244.00 Pu.upf
Ge 72.64 Ge.upf
Sb 121.76 Sb.upf
Pt 195.08 Pt.upf
CELL_PARAMETERS angstrom
4.430 0.000 0.000
0.000 4.430 0.000
0.000 0.000 10.261
ATOMIC_POSITIONS angstrom
Pu 0.000 2.215 2.471
Pu 2.215 0.000 7.791
Ge 0.000 2.215 8.994
Ge 2.215 0.000 1.267
Ge 2.215 2.215 5.131
Sb 0.000 0.000 5.131
Pt 0.000 0.000 0.000
Pt 0.000 2.215 6.559
Pt 2.215 0.000 3.702
Pt 2.215 2.215 0.000
```



Entry 9:
Compound: PuGe2Sb2Pt7
Source: Alexandria
Functional: PBE
Structure: optimized geometry Values from VASP.

As for the uncorrected formation energy: -6.0 eV/f.u. The calculation puts the size of the total moment at 0.371 μB/atom.

Quantum ESPRESSO input file:
```
&SYSTEM
  ibrav = 0, nat = 12, ntyp = 4
/
ATOMIC_SPECIES
Pu 244.00 Pu.upf
Ge 72.64 Ge.upf
Sb 121.76 Sb.upf
Pt 195.08 Pt.upf
CELL_PARAMETERS angstrom
-1.984 1.984 15.602
1.984 -1.984 15.602
1.984 1.984 -15.602
ATOMIC_POSITIONS angstrom
Pu 0.000 0.000 0.000
Ge 0.000 0.000 11.806
Ge 0.000 0.000 19.399
Sb 0.000 0.000 6.640
Sb 0.000 0.000 24.565
Pt 1.984 0.000 2.251
Pt 0.000 0.000 9.345
Pt 1.984 0.000 13.351
Pt 0.000 0.000 15.602
Pt 0.000 1.984 2.251
Pt 0.000 0.000 21.860
Pt 0.000 1.984 13.351
```



Entry 10:
Compound: Pu4Ge2SbPt
Source: Alexandria
Functional: PBE
Structure: optimized geometry Values from VASP.

As for the uncorrected formation energy: -3.5 eV/f.u. The calculation puts the size of the total moment at 0.011 μB/atom.

Quantum ESPRESSO input file:
```
&SYSTEM
  ibrav = 0, nat = 8, ntyp = 4
/
ATOMIC_SPECIES
Pu 244.00 Pu.upf
Ge 72.64 Ge.upf
Sb 121.76 Sb.upf
Pt 195.08 Pt.upf
CELL_PARAMETERS angstrom
2.511 1.450 8.750
-2.511 1.450 8.750
0.000 -2.900 8.750
ATOMIC_POSITIONS angstrom
Pu 0.000 0.000 3.072
Pu 0.000 0.000 9.579
Pu 0.000 0.000 16.670
Pu 0.000 0.000 23.177
Ge 0.000 0.000 6.555
Ge 0.000 0.000 19.695
Sb 0.000 0.000 13.125
Pt 0.000 0.000 0.000
```



Entry 11:
Compound: Pu2ScGe3Pt4
Source: Alexandria
Functional: PBE
Structure: optimized geometry Values from VASP.

The value obtained for the formation energy is -0.793 eV per atom. The calculation puts the size of the total moment at 1.116 μB/atom.

Quantum ESPRESSO input file:
```
&SYSTEM
  ibrav = 0, nat = 10, ntyp = 4
/
ATOMIC_SPECIES
Pu 244.00 Pu.upf
Sc 44.96 Sc.upf
Ge 72.64 Ge.upf
Pt 195.08 Pt.upf
CELL_PARAMETERS angstrom
4.128 0.000 0.000
0.000 4.128 0.000
0.000 0.000 11.416
ATOMIC_POSITIONS angstrom
Pu 0.000 2.064 2.713
Pu 2.064 0.000 8.702
Sc 0.000 0.000 5.708
Ge 0.000 2.064 9.904
Ge 2.064 0.000 1.512
Ge 2.064 2.064 5.708
Pt 0.000 0.000 0.000
Pt 0.000 2.064 7.420
Pt 2.064 0.000 3.996
Pt 2.064 2.064 0.000
```



Number 1: D(E_F) 27.90 states/eV per cell. Number 2: D(E_F) 28.22 states/eV per cell. Number 3: D(E_F) 22.18 states/eV per cell. Number 4: D(E_F) 28.38 states/eV per cell. Number 5: D(E_F) 10.50 states/eV per cell. Number 6: D(E_F) 28.79 states/eV per cell. Number 7: D(E_F) 10.98 states/eV per cell. Number 8: D(E_F) 30.57 states/eV per cell. Number 9: D(E_F) 17.04 states/eV per cell. Number 10: D(E_F) 35.74 states/eV per cell. Number 11: D(E_F) 26.34 states/eV per cell.